Run A
# MgSbRu2 PBEsol relaxed
data_MgSbRu2
_chemical_formula_sum 'Mg1 Sb1 Ru2'
_symmetry_space_group_name_H-M 'P 1'
_symmetry_Int_Tables_number 1
_cell_length_a 4.4830
_cell_length_b 4.4830
_cell_length_c 4.4830
_cell_angle_alpha 60.00
_cell_angle_beta 60.00
_cell_angle_gamma 60.00
loop_
_symmetry_equiv_pos_as_xyz
'x,y,z'
loop_
_atom_site_label
_atom_site_type_symbol
_atom_site_fract_x
_atom_site_fract_y
_atom_site_fract_z
Mg1 Mg 0.5000 0.5000 0.5000
Ru1 Ru 0.0000 0.0000 0.0000
Ru2 Ru 0.7500 0.7500 0.7500
Sb1 Sb 0.2500 0.2500 0.2500
# Calculated volume: 64 Å³/cell
# Mass density: 9.08 g/cm3
# D(E_F): 1.43 states/eV/atom

Run B
# MgSbRu2 PBEsol relaxed
data_MgSbRu2
_chemical_formula_sum 'Mg1 Sb1 Ru2'
_symmetry_space_group_name_H-M 'P 1'
_symmetry_Int_Tables_number 1
_cell_length_a 3.0413
_cell_length_b 4.5897
_cell_length_c 5.0270
_cell_angle_alpha 108.84
_cell_angle_beta 107.61
_cell_angle_gamma 90.00
loop_
_symmetry_equiv_pos_as_xyz
'x,y,z'
loop_
_atom_site_label
_atom_site_type_symbol
_atom_site_fract_x
_atom_site_fract_y
_atom_site_fract_z
Mg1 Mg 0.2604 0.8152 0.5207
Ru1 Ru 0.0107 0.9364 0.0215
Ru2 Ru 0.7423 0.3139 0.4847
Sb1 Sb 0.4865 0.4345 0.9731
# Calculated volume: 63 Å³/cell
# Mass density: 9.19 g/cm3
# D(E_F): 0.57 states/eV/atom

Run C
# MgSbRu2 PBEsol relaxed
data_MgSbRu2
_chemical_formula_sum 'Mg1 Sb1 Ru2'
_symmetry_space_group_name_H-M 'P 1'
_symmetry_Int_Tables_number 1
_cell_length_a 2.9413
_cell_length_b 5.1138
_cell_length_c 5.1138
_cell_angle_alpha 110.52
_cell_angle_beta 104.66
_cell_angle_gamma 104.66
loop_
_symmetry_equiv_pos_as_xyz
'x,y,z'
loop_
_atom_site_label
_atom_site_type_symbol
_atom_site_fract_x
_atom_site_fract_y
_atom_site_fract_z
Mg1 Mg 0.5000 0.5000 0.5000
Ru1 Ru 0.0000 0.5000 0.0000
Ru2 Ru 0.0000 0.0000 0.5000
Sb1 Sb 0.5000 0.0000 0.0000
# Calculated volume: 65 Å³/cell
# Mass density: 8.96 g/cm3
# D(E_F): 0.77 states/eV/atom

In terms of stability, run B leads; the second structure lies 244 meV/atom higher.

Run A
# MgTcRu PBEsol relaxed
data_MgTcRu
_chemical_formula_sum 'Mg1 Tc1 Ru1'
_symmetry_space_group_name_H-M 'P 1'
_symmetry_Int_Tables_number 1
_cell_length_a 4.1490
_cell_length_b 4.1490
_cell_length_c 4.1490
_cell_angle_alpha 60.00
_cell_angle_beta 60.00
_cell_angle_gamma 60.00
loop_
_symmetry_equiv_pos_as_xyz
'x,y,z'
loop_
_atom_site_label
_atom_site_type_symbol
_atom_site_fract_x
_atom_site_fract_y
_atom_site_fract_z
Mg1 Mg 0.0000 0.0000 0.0000
Ru1 Ru 0.5000 0.5000 0.5000
Tc1 Tc 0.2500 0.2500 0.2500
# Calculated volume: 51 Å³/cell
# Mass density: 7.34 g/cm3
# D(E_F): 1.20 states/eV/atom

Run B
# MgTcRu PBEsol relaxed
data_MgTcRu
_chemical_formula_sum 'Mg1 Tc1 Ru1'
_symmetry_space_group_name_H-M 'P 1'
_symmetry_Int_Tables_number 1
_cell_length_a 2.6988
_cell_length_b 2.6988
_cell_length_c 6.8842
_cell_angle_alpha 96.62
_cell_angle_beta 96.62
_cell_angle_gamma 114.34
loop_
_symmetry_equiv_pos_as_xyz
'x,y,z'
loop_
_atom_site_label
_atom_site_type_symbol
_atom_site_fract_x
_atom_site_fract_y
_atom_site_fract_z
Mg1 Mg 0.9980 0.9980 0.9960
Ru1 Ru 0.3276 0.3276 0.6552
Tc1 Tc 0.6744 0.6744 0.3488
# Calculated volume: 45 Å³/cell
# Mass density: 8.31 g/cm3
# D(E_F): 0.85 states/eV/atom

In terms of stability, run B leads; the second structure lies 335 meV/atom higher.

Run A
# Mg2RuW PBEsol relaxed
data_Mg2RuW
_chemical_formula_sum 'Mg2 Ru1 W1'
_symmetry_space_group_name_H-M 'P 1'
_symmetry_Int_Tables_number 1
_cell_length_a 2.8205
_cell_length_b 2.8205
_cell_length_c 9.3782
_cell_angle_alpha 81.35
_cell_angle_beta 81.35
_cell_angle_gamma 60.00
loop_
_symmetry_equiv_pos_as_xyz
'x,y,z'
loop_
_atom_site_label
_atom_site_type_symbol
_atom_site_fract_x
_atom_site_fract_y
_atom_site_fract_z
Mg1 Mg 0.2453 0.2453 0.2640
Mg2 Mg 0.7547 0.7547 0.7360
Ru1 Ru 0.5000 0.5000 0.5000
W1 W 0.0000 0.0000 0.0000
# Calculated volume: 64 Å³/cell
# Mass density: 8.70 g/cm3
# D(E_F): 0.79 states/eV/atom

Run B
# Mg2RuW PBEsol relaxed
data_Mg2RuW
_chemical_formula_sum 'Mg2 Ru1 W1'
_symmetry_space_group_name_H-M 'P 1'
_symmetry_Int_Tables_number 1
_cell_length_a 2.8120
_cell_length_b 4.3192
_cell_length_c 5.4994
_cell_angle_alpha 90.00
_cell_angle_beta 101.29
_cell_angle_gamma 90.00
loop_
_symmetry_equiv_pos_as_xyz
'x,y,z'
loop_
_atom_site_label
_atom_site_type_symbol
_atom_site_fract_x
_atom_site_fract_y
_atom_site_fract_z
Mg1 Mg 0.0099 0.0000 0.9960
Mg2 Mg 0.7160 0.5000 0.2567
Ru1 Ru 0.4712 0.0000 0.5265
W1 W 0.3030 0.5000 0.7208
# Calculated volume: 66 Å³/cell
# Mass density: 8.46 g/cm3
# D(E_F): 0.83 states/eV/atom

In terms of stability, run B leads; the second structure lies 127 meV/atom higher.